MgTe after structural relaxation. Source: Alexandria, functional PBE-GGA.

abc: 4.611 4.611 11.562
angles: 101.50 101.50 59.98
Sites, in units of the cell vectors:
Mg  0.000  0.000  0.000
Mg  0.556  0.556  0.667
Mg  0.779  0.779  0.333
Te  0.085  0.085  0.251
Te  0.639  0.639  0.918
Te  0.862  0.862  0.584

Formation energy from raw total energies, eV/atom: -0.88
Space group: Cm, No. 8
Total magnetic moment, μB/f.u.: 0.000

Ti2TcAuCl after structural relaxation. Source: Alexandria, functional PBE-GGA.

abc: 5.008 5.008 5.119
angles: 90.00 90.00 90.00
Sites, in units of the cell vectors:
Ti  0.000  0.500  0.000
Ti  0.500  0.000  0.000
Tc  0.000  0.000  0.500
Au  0.000  0.000  0.000
Cl  0.500  0.500  0.500

Formation energy from raw total energies, eV/atom: 1.10
Space group: P4/mmm, No. 123
Total magnetic moment, μB/f.u.: 0.974

Th2ScPd4 after structural relaxation. Source: Alexandria, functional PBE-GGA.

abc: 8.414 7.981 4.946
angles: 77.29 67.72 34.99
Sites, in units of the cell vectors:
Th  0.136  0.136  0.864
Th  0.864  0.864  0.136
Sc  0.500  0.500  0.500
Pd  0.000  0.000  0.500
Pd  0.323  0.323  0.677
Pd  0.500  0.500  0.000
Pd  0.677  0.677  0.323

Space group: Fmmm, No. 69
ΔH_f (0 K), eV/f.u.: -2.54
Total magnetic moment, μB/f.u.: 0.000

no.,calculated volume (Å³/atom)
1,34.5
2,25.7
3,24.8